Record 1
Entry from Alexandria via LeMat-Bulk: a PBEsol-optimized structure of YAg5 (meta-GGA SCAN).

Results
Magnetization = 0.0000 μB per atom
ΔE_f = -0.125 eV/atom
Volume = 110 Å³/f.u.
Space-group type = No. 12

abc: 4.191 5.106 5.909
angles: 105.46 90.00 114.23
Fractional coordinates of all 6 atoms:
Y 0.500 0.000 0.500
Ag 0.836 0.672 0.679
Ag 0.173 0.347 0.842
Ag 0.500 0.000 0.000
Ag 0.827 0.653 0.158
Ag 0.164 0.328 0.321

=====

Record 2
Entry from Alexandria via LeMat-Bulk: a PBEsol-optimized structure of Rb3SbO (meta-GGA SCAN).

Results
Magnetization = 0.4000 μB per atom
Formation energy (no corrections) = -0.62 eV per atom
Volume = 172 Å³/f.u.
Space-group type = No. 221

abc: 5.556 5.556 5.556
angles: 90.00 90.00 90.00
Fractional coordinates of all 5 atoms:
Sb 0.500 0.500 0.500
O 0.000 0.000 0.000
Rb 0.000 0.500 0.000
Rb 0.000 0.000 0.500
Rb 0.500 0.000 0.000

=====

Record 3
Entry from Alexandria via LeMat-Bulk: a PBEsol-optimized structure of K2CrIn (meta-GGA SCAN).

Results
Magnetization = 1.1261 μB per atom
ΔE_f = 0.224 eV/atom
Volume = 163 Å³/f.u.
Space-group type = No. 8

abc: 4.826 4.826 8.538
angles: 73.54 73.54 60.02
Fractional coordinates of all 4 atoms:
Cr 0.458 0.458 0.625
In 0.792 0.792 0.625
K 0.030 0.030 0.910
K 0.220 0.220 0.340

=====

Record 4
Entry from Alexandria via LeMat-Bulk: a PBEsol-optimized structure of Mo2PBr (meta-GGA SCAN).

Results
Magnetization = 0.0000 μB per atom
Formation energy (no corrections) = 0.39 eV per atom
Volume = 65 Å³/f.u.
Space-group type = No. 25

abc: 2.903 4.028 5.569
angles: 90.00 90.00 90.00
Fractional coordinates of all 4 atoms:
Br 0.500 0.500 0.814
Mo 0.000 0.000 0.005
Mo 0.500 0.500 0.267
P 0.000 0.000 0.414

=====

Record 5
Entry from Alexandria via LeMat-Bulk: a PBEsol-optimized structure of Ag3PtF (meta-GGA SCAN).

Results
Magnetization = 0.0000 μB per atom
Formation energy (no corrections) = 0.13 eV per atom
Volume = 83 Å³/f.u.
Space-group type = No. 221

abc: 4.368 4.368 4.368
angles: 90.00 90.00 90.00
Fractional coordinates of all 5 atoms:
Ag 0.000 0.500 0.000
Ag 0.000 0.000 0.500
Ag 0.500 0.000 0.000
Pt 0.500 0.500 0.500
F 0.000 0.000 0.000

=====

Record 6
Entry from Alexandria via LeMat-Bulk: a PBEsol-optimized structure of LiTlSe (meta-GGA SCAN).

Results
Magnetization = 0.0000 μB per atom
Formation energy (no corrections) = -0.80 eV per atom
Volume = 72 Å³/f.u.
Space-group type = No. 156

abc: 4.279 4.279 4.525
angles: 90.00 90.00 120.00
Fractional coordinates of all 3 atoms:
Tl 0.667 0.333 0.339
Se 0.333 0.667 0.823
Li 0.000 0.000 0.838

=====

In order of appearance, DFT total energy = -30.904; -21.762; -16.884; -24.520; -33.433; -32.409 eV/atom.